# ZnPPtCl2 | Alexandria | PBE-GGA | relaxed
# ΔE to the lowest computed polymorph = 431 meV/atom
# E_form (uncorrected) = 0.662 eV/atom
# calculated volume = 108 Å³/cell
# theoretical density = 5.6 g cm⁻³
data_ZnPPtCl2
_cell_length_a 4.4980
_cell_length_b 4.4980
_cell_length_c 5.3376
_cell_angle_alpha 90.00
_cell_angle_beta 90.00
_cell_angle_gamma 90.00
_space_group_name_H-M_alt 'P 4/m m m'
_space_group_IT_number 123
_space_group_name_Hall '-P 4 2'
loop_
_atom_site_label
_atom_site_fract_x
_atom_site_fract_y
_atom_site_fract_z
Zn1 0.0000 0.0000 0.0000
P1 0.0000 0.0000 0.5000
Pt1 0.5000 0.5000 0.5000
Cl1 0.0000 0.5000 0.0000